PrSnS2O: optimized geometry, GGA-PBE.

Lattice parameters (Å, degrees): 3.961 3.961 13.769 90.00 90.00 90.00
Space group P4/nmm (No. 129, origin choice 2)
One atom of each set of equivalent atoms:
Pr (0.250, 0.250, 0.092) [2 per cell]
Sn (0.250, 0.250, 0.623) [2 per cell]
S (0.250, 0.250, 0.400) [2 per cell]
S (0.250, 0.250, 0.801) [2 per cell]
O (0.250, 0.750, 0.000) [2 per cell]

Values from the calculation:
The value obtained for the total energy is -6.057 eV per atom. The density of states at the Fermi level comes out at 1.70 states/eV/cell. As for the uncorrected formation energy: -1.6577 eV per atom. The size of the total moment is 0.000 μB per cell.


SrPrS2O8: optimized geometry, GGA-PBE.

Lattice parameters (Å, degrees): 5.2367 5.2367 8.0807 90.00 90.00 120.00
Space group P-3m1 (No. 164)
One atom of each set of equivalent atoms:
Sr (0.0000, 0.0000, 0.0000) [1 per cell]
Pr (0.0000, 0.0000, 0.5000) [1 per cell]
S (0.3333, 0.6667, 0.7949) [2 per cell]
O (0.1780, 0.3559, 0.7342) [6 per cell]
O (0.3333, 0.6667, 0.9779) [2 per cell]

Values from the calculation:
The value obtained for the total energy is -6.559 eV per atom. The density of states at the Fermi level comes out at 2.04 states/eV/cell. As for the uncorrected formation energy: -2.0269 eV per atom. The size of the total moment is 0.366 μB per cell.


TbPrSO2: optimized geometry, GGA-PBE.

Lattice parameters (Å, degrees): 3.871 3.871 12.293 90.00 90.00 90.00
Space group I4mm (No. 107)
One atom of each set of equivalent atoms:
Tb (0.000, 0.000, 0.000) [2 per cell]
Pr (0.000, 0.000, 0.303) [2 per cell]
S (0.000, 0.000, 0.656) [2 per cell]
O (0.000, 0.500, 0.410) [4 per cell]

Values from the calculation:
The value obtained for the total energy is -7.676 eV per atom. The density of states at the Fermi level comes out at 0.00 states/eV/cell. As for the uncorrected formation energy: -2.9853 eV per atom. The size of the total moment is 0.000 μB per cell.


PrTiSO2: optimized geometry, GGA-PBE.

Lattice parameters (Å, degrees): 3.875 3.875 5.738 90.00 90.00 90.00
Space group P4mm (No. 99)
One atom of each set of equivalent atoms:
Pr (0.000, 0.000, 0.000) [1 per cell]
Ti (0.500, 0.500, 0.357) [1 per cell]
S (0.500, 0.500, 0.777) [1 per cell]
O (0.000, 0.500, 0.254) [2 per cell]

Values from the calculation:
The value obtained for the total energy is -7.987 eV per atom. The density of states at the Fermi level comes out at 3.51 states/eV/cell. As for the uncorrected formation energy: -2.6429 eV per atom. The size of the total moment is 0.982 μB per cell.